Material: YZrRe3
Method: DFT, PBE-GGA
State: optimized geometry

## Properties
**Calculated formation energy**: 1.79 eV/atom
**Size of the total moment**: 1.74 μB per formula unit
**E above lowest polymorph**: 0 meV per atom
**Energy**: -8.68 eV/atom

a b c (Å): 4.845 4.845 4.845
angles (deg): 90.00 90.00 90.00
Space group Pm-3m (No. 221)
Unique sites:
Y  0.000  0.000  0.000 (multiplicity 1)
Zr  0.500  0.500  0.500 (multiplicity 1)
Re  0.000  0.500  0.500 (multiplicity 3)